VASP calculation (GGA-PBE) on crystalline Nd3SnGe3 at its relaxed geometry.

Calculated values
- Magnetic moment: 0.00 μB per cell
- Calculated formation energy: -0.606 eV per atom

abc: 5.9410 8.8722 8.8722
angles: 120.00 90.00 90.00
Last column: nearest neighbours and their distance in Å.
Fractional coordinates of all 14 atoms:
Nd (0.7500, 0.6870, 0.6098)  5 Ge 2.96-3.20
Nd (0.7500, 0.3902, 0.0772)  5 Ge 2.96-3.20
Nd (0.7500, 0.9228, 0.3130)  5 Ge 2.96-3.20
Nd (0.2500, 0.3130, 0.3902)  5 Ge 2.96-3.20
Nd (0.2500, 0.6098, 0.9228)  5 Ge 2.96-3.20
Nd (0.2500, 0.0772, 0.6870)  5 Ge 2.96-3.20
Sn (0.2500, 0.6667, 0.3333)  3 Ge 2.69
Sn (0.7500, 0.3333, 0.6667)  3 Ge 2.69
Ge (0.2500, 0.7227, 0.6602)  1 Sn 2.69, 3 Nd 2.96-3.00
Ge (0.2500, 0.3398, 0.0625)  1 Sn 2.69, 3 Nd 2.96-3.00
Ge (0.2500, 0.9375, 0.2773)  1 Sn 2.69, 3 Nd 2.96-3.00
Ge (0.7500, 0.2773, 0.3398)  1 Sn 2.69, 3 Nd 2.96-3.00
Ge (0.7500, 0.6602, 0.9375)  1 Sn 2.69, 3 Nd 2.96-3.00
Ge (0.7500, 0.0625, 0.7227)  1 Sn 2.69, 3 Nd 2.96-3.00



VASP calculation (GGA-PBE) on crystalline Nd10Sn3Ge3 at its relaxed geometry.

Calculated values
- Magnetic moment: 0.00 μB per cell
- Calculated formation energy: -0.680 eV per atom

abc: 6.7816 9.0880 9.0880
angles: 120.00 90.00 90.00
Last column: nearest neighbours and their distance in Å.
Fractional coordinates of all 16 atoms:
Nd (0.2598, 0.6667, 0.3333)  3 Ge 3.25, 2 Nd 3.26-3.52, 3 Sn 3.30
Nd (0.2598, 0.3333, 0.6667)  3 Ge 3.25, 2 Nd 3.26-3.52, 3 Sn 3.30
Nd (0.7402, 0.3333, 0.6667)  3 Ge 3.25, 2 Nd 3.26-3.52, 3 Sn 3.30
Nd (0.7402, 0.6667, 0.3333)  3 Ge 3.25, 2 Nd 3.26-3.52, 3 Sn 3.30
Nd (0.5000, 0.0000, 0.7562)  3 Ge 3.10-3.33
Nd (0.5000, 0.7562, 0.0000)  3 Ge 3.10-3.33
Nd (0.5000, 0.2438, 0.2438)  3 Ge 3.10-3.33
Nd (0.0000, 0.0000, 0.2426)  3 Sn 3.14-3.28
Nd (0.0000, 0.2426, 0.0000)  3 Sn 3.14-3.28
Nd (0.0000, 0.7574, 0.7574)  3 Sn 3.14-3.28
Sn (0.0000, 0.0000, 0.6037)  7 Nd 3.14-3.30
Sn (0.0000, 0.6037, 0.0000)  7 Nd 3.14-3.30
Sn (0.0000, 0.3963, 0.3963)  7 Nd 3.14-3.30
Ge (0.5000, 0.0000, 0.3896)  7 Nd 3.10-3.33
Ge (0.5000, 0.3896, 0.0000)  7 Nd 3.10-3.33
Ge (0.5000, 0.6104, 0.6104)  7 Nd 3.10-3.33



Number 1: density of states at the Fermi level 0.5328 states/eV per atom, total energy -72.79 eV/cell. Number 2: density of states at the Fermi level 1.0017 states/eV per atom, total energy -84.42 eV/cell.